PBE Ba2NaCdH, optimized geometry; electronic total energy = -2.134 eV/atom
1.0
5.8173 0.0000 0.0000
0.0000 5.8173 0.0000
0.0000 0.0000 4.7558
Na Ba H Cd
1 2 1 1
direct
0.0000 0.0000 0.5000 Na
0.0000 0.5000 0.0000 Ba
0.5000 0.0000 0.0000 Ba
0.0000 0.0000 0.0000 H
0.5000 0.5000 0.5000 Cd